## ZrBe2Hg (PBE)

Data for crystalline ZrBe2Hg at its relaxed geometry.

Cell: 3.0634 3.0634 6.5778 Å, 90.00 90.00 90.00°
Space group P4/mmm (No. 123)
Asymmetric unit:
Zr 0.0000 0.0000 0.0000 (multiplicity 1)
Be 0.5000 0.5000 0.2671 (multiplicity 2)
Hg 0.0000 0.0000 0.5000 (multiplicity 1)

Summary:
Size of the total moment ... 0.00 μB/f.u.
DFT formation energy ... 0.188 eV per atom
V ... 15.4 Å³ per atom
Electronic total energy ... -3.89 eV per atom